(1)
Material: MnIrRh2
Method: DFT, PBE-GGA
State: relaxed

Cell lengths 2.7515, 2.7515, 25.8898 Å; angles 90.00, 90.00, 120.00 degrees
Space group R-3m (No. 166, hexagonal axes)
Asymmetric unit:
Mn (0.0000, 0.0000, 0.0000) [3 per cell]
Ir (0.0000, 0.0000, 0.5000) [3 per cell]
Rh (0.0000, 0.0000, 0.2523) [6 per cell]

The formation energy is 21 meV/atom. The value obtained for the density is 13.29 g/cm3. As for the final energy: -97.9 eV/cell.



(2)
Material: Fe3Pt
Method: DFT, PBE-GGA
State: relaxed

Cell lengths 2.7083, 2.7083, 24.8633 Å; angles 90.00, 90.00, 120.00 degrees
Space group R-3m (No. 166, hexagonal axes)
Asymmetric unit:
Fe (0.0000, 0.0000, 0.0000) [3 per cell]
Fe (0.0000, 0.0000, 0.2552) [6 per cell]
Pt (0.0000, 0.0000, 0.5000) [3 per cell]

The formation energy is 2 meV/atom. The value obtained for the density is 11.44 g/cm3. As for the final energy: -94.3 eV/cell.



(3)
Material: LaAgOs2
Method: DFT, PBE-GGA
State: relaxed

Cell lengths 3.0088, 5.0121, 10.3702 Å; angles 90.00, 90.00, 90.00 degrees
Space group Imm2 (No. 44)
Asymmetric unit:
La (0.0000, 0.0000, 0.0000) [2 per cell]
Ag (0.0000, 0.5000, 0.2131) [2 per cell]
Os (0.0000, 0.0000, 0.4728) [2 per cell]
Os (0.0000, 0.5000, 0.7740) [2 per cell]

The calculation puts the polymorph energy (0 for the lowest one) at 275 meV/atom. The formation energy is 561 meV/atom. The value obtained for the density is 13.32 g/cm3. As for the final energy: -56.0 eV/cell.



(4)
Material: FeP2Pb
Method: DFT, PBE-GGA
State: relaxed

Cell lengths 5.4576, 7.5109, 3.6238 Å; angles 90.00, 90.00, 90.00 degrees
Space group Cmmm (No. 65)
Asymmetric unit:
Fe (0.0000, 0.0000, 0.0000) [2 per cell]
P (0.2500, 0.2500, 0.5000) [4 per cell]
Pb (0.0000, 0.5000, 0.0000) [2 per cell]

The formation energy is 683 meV/atom. The value obtained for the density is 7.27 g/cm3. As for the final energy: -40.5 eV/cell.



(5)
Material: LiYIn2Ag
Method: DFT, PBE-GGA
State: relaxed

Cell lengths 5.6088, 5.6088, 5.8943 Å; angles 90.00, 90.00, 90.00 degrees
Space group P4/mmm (No. 123)
Asymmetric unit:
Li (0.0000, 0.0000, 0.0000) [1 per cell]
Y (0.5000, 0.5000, 0.0000) [1 per cell]
In (0.0000, 0.5000, 0.5000) [2 per cell]
Ag (0.5000, 0.5000, 0.5000) [1 per cell]

The formation energy is 326 meV/atom. The value obtained for the density is 3.88 g/cm3. As for the final energy: -15.1 eV/cell.



(6)
Material: CaAgAu
Method: DFT, PBE-GGA
State: relaxed

Cell lengths 3.1339, 3.1339, 15.4296 Å; angles 90.00, 90.00, 90.00 degrees
Space group I4mm (No. 107)
Asymmetric unit:
Ca (0.0000, 0.0000, 0.0000) [2 per cell]
Ag (0.0000, 0.0000, 0.6372) [2 per cell]
Au (0.0000, 0.0000, 0.8189) [2 per cell]

The calculation puts the polymorph energy (0 for the lowest one) at 667 meV/atom. The formation energy is 168 meV/atom. The value obtained for the density is 7.56 g/cm3. As for the final energy: -15.3 eV/cell.



(7)
Material: LiBe2Re2
Method: DFT, PBE-GGA
State: relaxed

Cell lengths 5.8465, 5.8465, 3.2395 Å; angles 90.00, 90.00, 90.00 degrees
Space group P4/mbm (No. 127)
Asymmetric unit:
Li (0.0000, 0.0000, 0.0000) [2 per cell]
Be (0.1220, 0.3780, 0.0000) [4 per cell]
Re (0.1723, 0.6723, 0.5000) [4 per cell]

The calculation puts the polymorph energy (0 for the lowest one) at 0 meV/atom. The formation energy is 119 meV/atom. The value obtained for the density is 11.92 g/cm3. As for the final energy: -67.3 eV/cell.



(8)
Material: KSbSCl2
Method: DFT, PBE-GGA
State: relaxed

Cell lengths 5.4726, 5.4726, 5.1261 Å; angles 90.00, 90.00, 90.00 degrees
Space group P4/mmm (No. 123)
Asymmetric unit:
K (0.0000, 0.0000, 0.0000) [1 per cell]
Sb (0.5000, 0.5000, 0.5000) [1 per cell]
S (0.5000, 0.5000, 0.0000) [1 per cell]
Cl (0.0000, 0.5000, 0.5000) [2 per cell]

As for the formation energy without anion corrections: -921 meV per atom. The calculation puts the polymorph energy (0 for the lowest one) at 0 meV/atom. The value obtained for the density is 2.85 g/cm3. As for the final energy: -17.6 eV/cell.



Question: The highest final energy belongs to which entry?
Answer: LiYIn2Ag



Question: Which of these has the lowest final energy?
Answer: MnIrRh2